1.
Density functional theory data (PBE) for a relaxed RbTb2Sn3Te6 crystal.

a = 4.4304 Å, b = 9.7743 Å, c = 10.1167 Å
α = 99.11°, β = 102.65°, γ = 90.00°
Closest atoms and distances in Å follow each position.
Atoms (fractional coordinates):
Sn: 0.8378 0.1719 0.6756  1 Te 2.98
Te: 0.0182 0.2831 0.0364  1 Tb 3.01, 2 Sn 3.13
Te: 0.3346 0.4324 0.6692  3 Tb 3.18, 3 Sn 3.22-3.38
Sn: 0.5000 0.5000 0.0000  6 Te 3.13-3.22
Tb: 0.1727 0.3375 0.3454  6 Te 3.01-3.18
Te: 0.3151 0.8841 0.6301  1 Sn 2.98, 2 Tb 3.13
Te: 0.6849 0.1159 0.3699  1 Sn 2.98, 2 Tb 3.13
Rb: 0.5000 0.0000 0.0000  6 Te 3.52-3.64
Sn: 0.1622 0.8281 0.3244  1 Te 2.98
Te: 0.9818 0.7169 0.9636  1 Tb 3.01, 2 Sn 3.13
Te: 0.6654 0.5676 0.3308  3 Tb 3.18, 3 Sn 3.22-3.38
Tb: 0.8273 0.6625 0.6546  6 Te 3.01-3.18

Summary:
formation energy from raw total energies = -8.73 eV/f.u.
symmetry = No. 12



2.
Density functional theory data (PBE) for a relaxed CrSbMo crystal.

a = 4.3634 Å, b = 4.3634 Å, c = 3.0130 Å
α = 90.00°, β = 90.00°, γ = 120.00°
Closest atoms and distances in Å follow each position.
Atoms (fractional coordinates):
Mo: 0.3333 0.6667 0.2836  3 Cr 2.70, 6 Sb 2.89-2.98, 2 Mo 3.01
Sb: 0.6667 0.3333 0.7527  3 Cr 2.60, 3 Mo 2.89
Cr: 0.0000 0.0000 0.9637  3 Sb 2.60, 3 Mo 2.70

Summary:
ΔE to the lowest computed polymorph = 0.201 eV per atom
formation energy from raw total energies = 1.30 eV/f.u.
symmetry = No. 156



3.
Density functional theory data (PBE) for a relaxed Y3AsH crystal.

a = 4.6763 Å, b = 4.6763 Å, c = 4.6763 Å
α = 90.00°, β = 90.00°, γ = 90.00°
Closest atoms and distances in Å follow each position.
Atoms (fractional coordinates):
Y: 0.0000 0.5000 0.0000  2 H 2.34
Y: 0.5000 0.0000 0.0000  2 H 2.34
As: 0.5000 0.5000 0.5000  12 Y 3.31
H: 0.0000 0.0000 0.0000  6 Y 2.34
Y: 0.0000 0.0000 0.5000  2 H 2.34

Summary:
ΔE to the lowest computed polymorph = 0.000 eV per atom
symmetry = No. 221



4.
Density functional theory data (PBE) for a relaxed Sm12TlRh6 crystal.

a = 8.7399 Å, b = 8.7399 Å, c = 8.7399 Å
α = 109.47°, β = 109.47°, γ = 109.47°
Closest atoms and distances in Å follow each position.
Atoms (fractional coordinates):
Rh: 0.5000 0.1304 0.6304  1 Rh 2.63, 2 Sm 2.71
Rh: 0.6304 0.5000 0.1304  1 Rh 2.63, 2 Sm 2.71
Rh: 0.5000 0.8696 0.3696  1 Rh 2.63, 2 Sm 2.71
Sm: 0.1872 0.3032 0.4904  1 Rh 2.71
Sm: 0.8840 0.1872 0.6968  1 Rh 2.71
Rh: 0.3696 0.5000 0.8696  1 Rh 2.63, 2 Sm 2.71
Sm: 0.6968 0.8840 0.1872  1 Rh 2.71
Sm: 0.1872 0.6968 0.8840  1 Rh 2.71
Sm: 0.3032 0.1160 0.8128  1 Rh 2.71
Sm: 0.1160 0.8128 0.3032  1 Rh 2.71
Sm: 0.5096 0.8128 0.6968  1 Rh 2.71
Sm: 0.8128 0.3032 0.1160  1 Rh 2.71
Sm: 0.4904 0.1872 0.3032  1 Rh 2.71
Sm: 0.6968 0.5096 0.8128  1 Rh 2.71
Sm: 0.3032 0.4904 0.1872  1 Rh 2.71
Tl: 0.0000 0.0000 0.0000  12 Sm 3.60
Rh: 0.1304 0.6304 0.5000  1 Rh 2.63, 2 Sm 2.71
Rh: 0.8696 0.3696 0.5000  1 Rh 2.63, 2 Sm 2.71
Sm: 0.8128 0.6968 0.5096  1 Rh 2.71

Summary:
symmetry = No. 204
E_form = -51.41 kJ per mole of atoms



5.
Density functional theory data (PBE) for a relaxed NaGeAs2Br crystal.

a = 4.8829 Å, b = 4.8829 Å, c = 6.3149 Å
α = 90.00°, β = 90.00°, γ = 90.00°
Closest atoms and distances in Å follow each position.
Atoms (fractional coordinates):
Br: 0.0000 0.0000 0.5000  2 Ge 3.16, 4 Na 3.45
Na: 0.5000 0.5000 0.5000  4 Br 3.45
Ge: 0.0000 0.0000 0.0000  4 As 2.44
As: 0.5000 0.0000 0.0000  2 Ge 2.44
As: 0.0000 0.5000 0.0000  2 Ge 2.44

Summary:
ΔE to the lowest computed polymorph = 0.000 eV per atom
formation energy from raw total energies = 0.62 eV/f.u.
symmetry = No. 123



Repeat the fifth record exactly.
Density functional theory data (PBE) for a relaxed NaGeAs2Br crystal.

a = 4.8829 Å, b = 4.8829 Å, c = 6.3149 Å
α = 90.00°, β = 90.00°, γ = 90.00°
Closest atoms and distances in Å follow each position.
Atoms (fractional coordinates):
Br: 0.0000 0.0000 0.5000  2 Ge 3.16, 4 Na 3.45
Na: 0.5000 0.5000 0.5000  4 Br 3.45
Ge: 0.0000 0.0000 0.0000  4 As 2.44
As: 0.5000 0.0000 0.0000  2 Ge 2.44
As: 0.0000 0.5000 0.0000  2 Ge 2.44

Summary:
ΔE to the lowest computed polymorph = 0.000 eV per atom
formation energy from raw total energies = 0.62 eV/f.u.
symmetry = No. 123